1.
Density functional theory data (PBEsol) for a relaxed structure of ZrCrO2.

Unit cell a=3.432 b=3.432 c=16.487 alpha=90.00 beta=90.00 gamma=120.00
Fractional positions:
Zr (0.000, 0.000, 0.000)
Zr (0.333, 0.667, 0.667)
Zr (0.667, 0.333, 0.333)
Cr (0.000, 0.000, 0.500)
Cr (0.333, 0.667, 0.167)
Cr (0.667, 0.333, 0.833)
O (0.000, 0.000, 0.383)
O (0.000, 0.000, 0.617)
O (0.333, 0.667, 0.050)
O (0.333, 0.667, 0.284)
O (0.667, 0.333, 0.716)
O (0.667, 0.333, 0.950)

Symmetry: R-3m
E_form (uncorrected): -2016 meV per atom
Crystal system: trigonal

2.
Density functional theory data (PBEsol) for a relaxed structure of CrOs2.

Unit cell a=9.661 b=2.690 c=6.270 alpha=90.00 beta=103.68 gamma=90.00
Fractional positions:
Cr (0.000, 0.000, 0.000)
Cr (0.167, 0.500, 0.329)
Cr (0.500, 0.500, 0.000)
Cr (0.667, 0.000, 0.329)
Os (0.057, 0.000, 0.607)
Os (0.220, 0.500, 0.948)
Os (0.335, 0.000, 0.667)
Os (0.390, 0.000, 0.273)
Os (0.557, 0.500, 0.607)
Os (0.720, 0.000, 0.948)
Os (0.835, 0.500, 0.667)
Os (0.890, 0.500, 0.273)

Formation enthalpy at 0 K: 0.036 eV/atom
Symmetry: Cm
Crystal system: monoclinic

3.
Density functional theory data (PBEsol) for a relaxed structure of CrOs2.

Unit cell a=4.019 b=4.019 c=2.789 alpha=90.00 beta=90.00 gamma=90.00
Fractional positions:
Cr (0.000, 0.000, 0.000)
Os (0.000, 0.500, 0.500)
Os (0.500, 0.000, 0.500)

Formation enthalpy at 0 K: 0.952 eV/atom
Symmetry: P4/mmm
Crystal system: tetragonal

4.
Density functional theory data (PBEsol) for a relaxed structure of CrOs2.

Unit cell a=2.673 b=3.719 c=7.972 alpha=90.00 beta=90.00 gamma=90.00
Fractional positions:
Cr (0.000, 0.000, 0.000)
Cr (0.500, 0.500, 0.500)
Os (0.000, 0.000, 0.336)
Os (0.000, 0.000, 0.664)
Os (0.500, 0.500, 0.164)
Os (0.500, 0.500, 0.836)

Formation enthalpy at 0 K: 0.132 eV/atom
Symmetry: Immm
Crystal system: orthorhombic

| no. | total energy (eV per atom) |
| --- | --- |
| 1 | -9.4737 |
| 2 | -11.5215 |
| 3 | -10.6063 |
| 4 | -11.4257 |